1.
DFT (PBE-GGA) results for an optimized crystal structure of MoIr2.

Unit cell a=5.234 b=5.234 c=6.575 alpha=76.26 beta=76.26 gamma=30.68
Atoms (fractional coordinates):
Mo 0.274 0.274 0.948
Ir 0.995 0.995 0.997
Mo 0.948 0.948 0.607
Ir 0.611 0.611 0.277
Ir 0.671 0.671 0.670
Ir 0.333 0.333 0.334

## Properties
Magnetization   0.0 μB/cell
SG   Cm, No. 8
Energy of formation from the pure elements   -0.22 eV per atom

---

2.
DFT (PBE-GGA) results for an optimized crystal structure of SrRu3.

Unit cell a=2.822 b=3.710 c=7.101 alpha=90.00 beta=90.00 gamma=90.00
Atoms (fractional coordinates):
Sr 0.000 0.000 0.000
Ru 0.500 0.500 0.679
Ru 0.000 0.000 0.500
Ru 0.500 0.500 0.321

## Properties
Magnetization   0.0 μB/cell
SG   Pmmm, No. 47
Energy of formation from the pure elements   0.54 eV per atom

---

3.
DFT (PBE-GGA) results for an optimized crystal structure of Cs2GeNCl6.

Unit cell a=7.598 b=7.598 c=7.610 alpha=60.05 beta=60.05 gamma=90.00
Last column: magnetic moment on the atom in μB.
Atoms (fractional coordinates):
Cl 0.782 0.218 0.000  0.02
Cl 0.217 0.217 0.566  0.02
Cs 0.750 0.250 0.500  0.00
Cs 0.250 0.750 0.500  0.00
Cl 0.218 0.218 0.000  0.02
Ge 0.000 0.000 0.000  0.03
Cl 0.782 0.782 0.000  0.02
N 0.500 0.500 0.000  1.89
Cl 0.218 0.782 0.000  0.02
Cl 0.783 0.783 0.434  0.02

## Properties
Magnetization   3.0 μB/cell
SG   I4/mmm, No. 139
Formation energy from raw total energies   -0.745 eV/atom

---

4.
DFT (PBE-GGA) results for an optimized crystal structure of ZnAsIr2.

Unit cell a=4.455 b=4.455 c=4.942 alpha=80.39 beta=80.39 gamma=38.09
Atoms (fractional coordinates):
As 0.250 0.250 0.250
Ir 0.001 0.001 0.005
Ir 0.499 0.499 0.495
Zn 0.750 0.750 0.750

## Properties
Magnetization   0.0 μB/cell
SG   C2/m, No. 12
Energy of formation from the pure elements   -0.01 eV per atom